(1)
# Y2AgBi

An optimized crystal structure of Y2AgBi (GGA-PBE, Alexandria via LeMat-Bulk).

Structure (POSCAR):
```
Y2AgBi
1.0
-2.9709 -2.5215 1.1919
3.2173 -3.9558 -0.3492
1.3731 0.6864 4.8749
Y Bi Ag
2 1 1
direct
0.0000 0.0000 0.5000
0.0000 0.5000 0.0000
0.5000 0.5000 0.5000
0.5000 0.0000 0.0000
```

Summary:
SG   P4/mmm, No. 123
Energy of formation   -0.49 eV per atom
D(E_F)   3.18 states/eV/f.u.

(2)
# YAgBi3

An optimized crystal structure of YAgBi3 (GGA-PBE, Alexandria via LeMat-Bulk).

Structure (POSCAR):
```
YAgBi3
1.0
5.8729 0.0000 0.0000
0.0000 5.8729 0.0000
0.0000 0.0000 5.8729
Y Bi Ag
1 3 1
direct
0.0000 0.0000 0.0000
0.0000 0.5000 0.0000
0.5000 0.0000 0.0000
0.0000 0.0000 0.5000
0.5000 0.5000 0.5000
```

Summary:
SG   Pm-3m, No. 221
Energy above the most stable polymorph in this dataset   0.238 eV/atom
Energy of formation   0.48 eV per atom
D(E_F)   4.47 states/eV/f.u.

(3)
# YAg2Bi

An optimized crystal structure of YAg2Bi (GGA-PBE, Alexandria via LeMat-Bulk).

Structure (POSCAR):
```
YAg2Bi
1.0
-0.5870 -2.3496 2.2632
2.4501 -2.0058 0.9804
3.2011 5.6108 9.0827
Bi Ag Y
1 2 1
direct
0.5000 0.5000 0.5000
0.9107 0.9107 0.2679
0.0893 0.0893 0.7321
0.0000 0.0000 0.0000
```

Summary:
SG   R-3m, No. 166
Energy of formation   0.29 eV per atom
D(E_F)   2.00 states/eV/f.u.

(4)
# YAg4Bi

An optimized crystal structure of YAg4Bi (GGA-PBE, Alexandria via LeMat-Bulk).

Structure (POSCAR):
```
YAg4Bi
1.0
5.7087 0.0000 0.0000
2.8543 4.9439 0.0000
2.8543 1.6480 4.6611
Ag Bi Y
4 1 1
direct
0.6254 0.6254 0.1237
0.1237 0.6254 0.6254
0.6254 0.6254 0.6254
0.6254 0.1237 0.6254
0.2500 0.2500 0.2500
0.0000 0.0000 0.0000
```

Summary:
SG   F-43m, No. 216
Energy of formation   -0.18 eV per atom
D(E_F)   2.88 states/eV/f.u.

(5)
# Y4AgBi

An optimized crystal structure of Y4AgBi (GGA-PBE, Alexandria via LeMat-Bulk).

Structure (POSCAR):
```
Y4AgBi
1.0
8.6468 0.0000 4.9923
2.8823 8.1523 4.9923
0.0000 0.0000 9.9845
Ag Y Bi
4 16 4
direct
0.1507 0.5480 0.1507
0.1507 0.1507 0.1507
0.1507 0.1507 0.5480
0.5480 0.1507 0.1507
0.9071 0.3643 0.3643
0.8156 0.1844 0.8156
0.1844 0.8156 0.8156
0.3643 0.3643 0.3643
0.9370 0.5630 0.9370
0.3643 0.9071 0.3643
0.8156 0.8156 0.1844
0.5630 0.9370 0.5630
0.5630 0.9370 0.9370
0.9370 0.9370 0.5630
0.1844 0.8156 0.1844
0.8156 0.1844 0.1844
0.5630 0.5630 0.9370
0.9370 0.5630 0.5630
0.3643 0.3643 0.9071
0.1844 0.1844 0.8156
0.5953 0.5953 0.2141
0.2141 0.5953 0.5953
0.5953 0.5953 0.5953
0.5953 0.2141 0.5953
```

Summary:
SG   F-43m, No. 216
Energy above the most stable polymorph in this dataset   0.000 eV/atom
Energy of formation   -0.37 eV per atom
D(E_F)   5.64 states/eV/f.u.

(6)
# Y4AgBi

An optimized crystal structure of Y4AgBi (GGA-PBE, Alexandria via LeMat-Bulk).

Structure (POSCAR):
```
Y4AgBi
1.0
7.3185 0.0000 0.0400
0.0000 7.3271 0.0000
-0.0686 0.0000 7.3378
Y Bi Ag
8 2 2
direct
0.3555 0.8539 0.1660
0.1641 0.8403 0.6393
0.1445 0.3539 0.8340
0.3359 0.3403 0.3607
0.8359 0.1597 0.3607
0.6445 0.1461 0.8340
0.8555 0.6461 0.1660
0.6641 0.6597 0.6393
0.5000 0.5000 0.0000
0.0000 0.0000 0.0000
0.0000 0.5000 0.5000
0.5000 0.0000 0.5000
```

Summary:
SG   P2_1/c, No. 14
Energy above the most stable polymorph in this dataset   0.240 eV/atom
Energy of formation   -0.13 eV per atom
D(E_F)   8.22 states/eV/f.u.